1.
A relaxed structure of CaY2Au. Source: the Alexandria database, functional PBE.

abc: 3.9199 4.6381 6.7141
angles: 90.00 103.61 90.00
Space group P2/m (No. 10)
One atom of each set of equivalent atoms:
Ca (0.0000, 0.0000, 0.0000) [1 per cell]
Y (0.3766, 0.5000, 0.7176) [2 per cell]
Au (0.0000, 0.0000, 0.5000) [1 per cell]

Results
The calculation puts the electronic total energy at -19.2 eV per cell. For the formation energy, the calculation gives -0.98 eV/f.u. For the density of states at the Fermi level, the calculation gives 4.055 states/eV/f.u. The calculation puts the energy relative to the lowest polymorph listed for this composition at 152 meV/atom.

=====

2.
A relaxed structure of CaYAu2. Source: the Alexandria database, functional PBE.

abc: 3.6099 4.8623 10.9755
angles: 90.00 90.00 90.00
Space group Imm2 (No. 44)
One atom of each set of equivalent atoms:
Ca (0.0000, 0.0000, 0.0000) [2 per cell]
Y (0.0000, 0.5000, 0.2112) [2 per cell]
Au (0.0000, 0.0000, 0.4787) [2 per cell]
Au (0.0000, 0.5000, 0.7614) [2 per cell]

Results
The calculation puts the electronic total energy at -35.1 eV per cell. For the formation energy, the calculation gives -2.54 eV/f.u. For the density of states at the Fermi level, the calculation gives 2.745 states/eV/f.u.

=====

3.
A relaxed structure of CaYAu4. Source: the Alexandria database, functional PBE.

abc: 3.8211 4.8427 7.3571
angles: 90.00 105.03 90.00
Space group Pm (No. 6)
One atom of each set of equivalent atoms:
Ca (0.0000, 0.0000, 0.0000) [1 per cell]
Y (0.2068, 0.5000, 0.4160) [1 per cell]
Au (0.3310, 0.0000, 0.6616) [1 per cell]
Au (0.5400, 0.5000, 0.0801) [1 per cell]
Au (0.6685, 0.0000, 0.3392) [1 per cell]
Au (0.8718, 0.5000, 0.7467) [1 per cell]

Results
The calculation puts the electronic total energy at -25.7 eV per cell. For the formation energy, the calculation gives -4.13 eV/f.u. For the density of states at the Fermi level, the calculation gives 3.501 states/eV/f.u. The calculation puts the energy relative to the lowest polymorph listed for this composition at 0 meV/atom.

=====

4.
A relaxed structure of CaY2Au. Source: the Alexandria database, functional PBE.

abc: 3.8931 3.8931 30.1549
angles: 90.00 90.00 120.00
Space group R-3m (No. 166, hexagonal axes)
One atom of each set of equivalent atoms:
Ca (0.0000, 0.0000, 0.0000) [3 per cell]
Y (0.0000, 0.0000, 0.2290) [6 per cell]
Au (0.0000, 0.0000, 0.5000) [3 per cell]

Results
The calculation puts the electronic total energy at -57.9 eV per cell. For the formation energy, the calculation gives -1.08 eV/f.u. For the density of states at the Fermi level, the calculation gives 5.926 states/eV/f.u. The calculation puts the energy relative to the lowest polymorph listed for this composition at 129 meV/atom.

=====

5.
A relaxed structure of CaY3Au4. Source: the Alexandria database, functional PBE.

abc: 5.0929 5.0929 25.1455
angles: 90.00 90.00 120.00
Space group R-3m (No. 166, hexagonal axes)
One atom of each set of equivalent atoms:
Ca (0.0000, 0.0000, 0.0000) [3 per cell]
Y (0.0000, 0.0000, 0.2518) [6 per cell]
Y (0.0000, 0.0000, 0.5000) [3 per cell]
Au (0.0000, 0.0000, 0.1298) [6 per cell]
Au (0.0000, 0.0000, 0.3784) [6 per cell]

Results
The calculation puts the electronic total energy at -123.8 eV per cell. For the formation energy, the calculation gives -6.77 eV/f.u. For the density of states at the Fermi level, the calculation gives 4.101 states/eV/f.u.

=====

6.
A relaxed structure of CaY3Au. Source: the Alexandria database, functional PBE.

abc: 5.6394 5.6394 5.6394
angles: 90.00 90.00 90.00
Space group Pm-3m (No. 221)
One atom of each set of equivalent atoms:
Ca (0.0000, 0.0000, 0.0000) [1 per cell]
Y (0.0000, 0.5000, 0.5000) [3 per cell]
Au (0.5000, 0.5000, 0.5000) [1 per cell]

Results
The calculation puts the electronic total energy at -25.2 eV per cell. For the formation energy, the calculation gives -0.58 eV/f.u. For the density of states at the Fermi level, the calculation gives 7.253 states/eV/f.u. The calculation puts the energy relative to the lowest polymorph listed for this composition at 0 meV/atom.

=====

7.
A relaxed structure of Ca3YAu. Source: the Alexandria database, functional PBE.

abc: 5.7015 5.7015 5.7015
angles: 90.00 90.00 90.00
Space group Pm-3m (No. 221)
One atom of each set of equivalent atoms:
Ca (0.0000, 0.0000, 0.5000) [3 per cell]
Y (0.5000, 0.5000, 0.5000) [1 per cell]
Au (0.0000, 0.0000, 0.0000) [1 per cell]

Results
The calculation puts the electronic total energy at -16.4 eV per cell. For the formation energy, the calculation gives -0.61 eV/f.u. For the density of states at the Fermi level, the calculation gives 7.225 states/eV/f.u. The calculation puts the energy relative to the lowest polymorph listed for this composition at 0 meV/atom.

=====

8.
A relaxed structure of CaY2Au. Source: the Alexandria database, functional PBE.

abc: 3.8964 3.8964 30.0198
angles: 90.00 90.00 120.00
Space group R3m (No. 160, hexagonal axes)
One atom of each set of equivalent atoms:
Ca (0.0000, 0.0000, 0.0000) [3 per cell]
Y (0.0000, 0.0000, 0.2308) [3 per cell]
Y (0.0000, 0.0000, 0.4390) [3 per cell]
Au (0.0000, 0.0000, 0.8351) [3 per cell]

Results
The calculation puts the electronic total energy at -57.9 eV per cell. For the formation energy, the calculation gives -1.10 eV/f.u. For the density of states at the Fermi level, the calculation gives 5.470 states/eV/f.u. The calculation puts the energy relative to the lowest polymorph listed for this composition at 122 meV/atom.

=====

9.
A relaxed structure of CaY3Au. Source: the Alexandria database, functional PBE.

abc: 5.4543 5.4543 5.4543
angles: 90.00 90.00 90.00
Space group Pm-3m (No. 221)
One atom of each set of equivalent atoms:
Ca (0.0000, 0.0000, 0.0000) [1 per cell]
Y (0.0000, 0.0000, 0.5000) [3 per cell]
Au (0.5000, 0.5000, 0.5000) [1 per cell]

Results
The calculation puts the electronic total energy at -19.6 eV per cell. For the formation energy, the calculation gives 5.07 eV/f.u. For the density of states at the Fermi level, the calculation gives 3.393 states/eV/f.u. The calculation puts the energy relative to the lowest polymorph listed for this composition at 1130 meV/atom.

=====

10.
A relaxed structure of CaY2Au. Source: the Alexandria database, functional PBE.

abc: 7.5674 7.5674 7.5674
angles: 90.00 90.00 90.00
Space group Fm-3m (No. 225)
One atom of each set of equivalent atoms:
Ca (0.0000, 0.0000, 0.0000) [4 per cell]
Y (0.2500, 0.2500, 0.2500) [8 per cell]
Au (0.0000, 0.0000, 0.5000) [4 per cell]

Results
The calculation puts the electronic total energy at -75.2 eV per cell. For the formation energy, the calculation gives -0.59 eV/f.u. For the density of states at the Fermi level, the calculation gives 6.859 states/eV/f.u. The calculation puts the energy relative to the lowest polymorph listed for this composition at 250 meV/atom.

=====

11.
A relaxed structure of CaY2Au. Source: the Alexandria database, functional PBE.

abc: 3.6737 5.5013 11.6356
angles: 90.00 90.00 90.00
Space group Immm (No. 71)
One atom of each set of equivalent atoms:
Ca (0.0000, 0.0000, 0.0000) [2 per cell]
Y (0.0000, 0.5000, 0.2023) [4 per cell]
Au (0.0000, 0.0000, 0.5000) [2 per cell]

Results
The calculation puts the electronic total energy at -39.4 eV per cell. For the formation energy, the calculation gives -1.51 eV/f.u. For the density of states at the Fermi level, the calculation gives 4.547 states/eV/f.u. The calculation puts the energy relative to the lowest polymorph listed for this composition at 22 meV/atom.

=====

12.
A relaxed structure of Ca2Y2Au. Source: the Alexandria database, functional PBE.

abc: 7.5836 7.5836 5.8990
angles: 90.00 90.00 90.00
Space group P4/mbm (No. 127)
One atom of each set of equivalent atoms:
Ca (0.1657, 0.3343, 0.0000) [4 per cell]
Y (0.1559, 0.6559, 0.5000) [4 per cell]
Au (0.0000, 0.0000, 0.5000) [2 per cell]

Results
The calculation puts the electronic total energy at -41.4 eV per cell. For the formation energy, the calculation gives -0.49 eV/f.u. For the density of states at the Fermi level, the calculation gives 6.898 states/eV/f.u.